Below is a geometry-optimized CaTa2Co structure, with properties calculated at the GGA-PBEsol level.

a b c (Å): 3.039 4.691 4.691
angles (deg): 90.00 90.00 90.00
Each line ends with the local moment (μB).
Fractional positions:
Ca1 0.500 0.500 0.500  0.01
Co1 0.500 0.000 0.000  0.79
Ta1 0.000 0.000 0.500  0.01
Ta2 0.000 0.500 0.000  0.01

total magnetization = 0.8 μB/cell
ΔH_f (0 K) = 0.93 eV per atom
DOS at the Fermi energy = 4.879 states/eV/f.u.
energy relative to the lowest polymorph listed for this composition = 0.3726 eV/atom